Entry 1:
The following is a DFT calculation (GGA-PBE) of a relaxed structure of RbIrSe2O8.

Cell lengths 5.0470, 5.0470, 9.3162 Å; angles 74.28, 74.28, 60.00 degrees
Element x y z (fractional)
Rb1 0.5000 0.5000 0.5000
Ir1 0.0000 0.0000 0.0000
Se1 0.2684 0.2684 0.1947
Se2 0.7316 0.7316 0.8053
O1 0.2063 0.2063 0.3812
O2 0.6254 0.2675 0.1394
O3 0.7937 0.7937 0.6188
O4 0.9677 0.6254 0.1394
O5 0.0323 0.3746 0.8606
O6 0.2675 0.9677 0.1394
O7 0.7325 0.0323 0.8606
O8 0.3746 0.7325 0.8606

Summary:
Formation energy (no corrections) in eV/atom: -0.793
Magnetic moment in μB/cell: 0.00
SG: R-3 (148)

Entry 2:
The following is a DFT calculation (GGA-PBE) of a relaxed structure of Cd2OsF.

Cell lengths 6.8932, 6.8932, 5.7375 Å; angles 53.08, 53.08, 90.00 degrees
Each line ends with the local moment (μB).
Element x y z (fractional)
F1 0.5000 0.5000 0.0000  0.04
F2 0.2500 0.7500 0.5000  0.04
Os1 0.0000 0.0000 0.0000  1.58
Os2 0.7500 0.2500 0.5000  1.58
Cd1 0.5798 0.1250 0.2500  -0.01
Cd2 0.1702 0.6250 0.2500  -0.01
Cd3 0.3750 0.4202 0.7500  -0.01
Cd4 0.8750 0.8298 0.7500  -0.01

Summary:
Formation energy (no corrections) in eV/atom: 0.225
Magnetic moment in μB/cell: 3.47
Energy relative to the lowest polymorph listed for this composition in meV per atom: 0
SG: I-42d (122)

Entry 3:
The following is a DFT calculation (GGA-PBE) of a relaxed structure of BaNpN3.

Cell lengths 4.0595, 4.0604, 11.3067 Å; angles 90.00, 90.02, 90.00 degrees
Each line ends with the local moment (μB).
Element x y z (fractional)
Ba1 0.7501 0.2500 0.3611  0.00
Ba2 0.2499 0.7500 0.6389  0.00
Np1 0.2501 0.7500 0.0892  3.09
Np2 0.7499 0.2500 0.9108  3.09
N1 0.7498 0.2500 0.7132  -0.05
N2 0.2502 0.7500 0.2868  -0.05
N3 0.7500 0.7500 0.9999  -0.16
N4 0.7498 0.2500 0.5999  0.06
N5 0.2502 0.7500 0.4001  0.06
N6 0.2500 0.2500 0.0001  -0.16

Summary:
Formation energy (no corrections) in eV/atom: -0.780
Magnetic moment in μB/cell: 6.50
SG: P4/nmm (129)

Entry 4:
The following is a DFT calculation (GGA-PBE) of a relaxed structure of ZrFeAu2.

Cell lengths 5.0324, 5.0324, 5.0324 Å; angles 131.86, 131.80, 70.50 degrees
Each line ends with the local moment (μB).
Element x y z (fractional)
Au1 0.0000 0.0000 0.0000  -0.03
Au2 0.7499 0.2499 0.5000  -0.04
Fe1 0.5001 0.5001 0.0000  2.32
Zr1 0.2501 0.7501 0.5000  -0.39

Summary:
Magnetic moment in μB/cell: 1.74
Energy of formation from the pure elements in eV per atom: -0.176
SG: I-4m2 (119)

Entry 5:
The following is a DFT calculation (GGA-PBE) of a relaxed structure of ZrTiGa.

Cell lengths 3.2560, 4.5117, 4.5117 Å; angles 120.00, 90.00, 90.00 degrees
Element x y z (fractional)
Ga1 0.1063 0.0000 0.0000
Zr1 0.6855 0.3333 0.6667
Ti1 0.2083 0.6667 0.3333

Summary:
Magnetic moment in μB/cell: 0.00
Energy relative to the lowest polymorph listed for this composition in meV per atom: 285
Energy of formation from the pure elements in eV per atom: -0.165
SG: P3m1 (156)

Entry 6:
The following is a DFT calculation (GGA-PBE) of a relaxed structure of AcAg6Pd6.

Cell lengths 5.4476, 7.1873, 7.1873 Å; angles 81.58, 67.73, 67.73 degrees
Element x y z (fractional)
Ac1 0.0000 0.0000 0.0000
Ag1 0.3541 0.6459 0.6459
Ag2 0.6459 0.3541 0.3541
Ag3 0.0000 0.3496 0.6504
Ag4 0.0000 0.6504 0.3496
Ag5 0.2821 0.2179 0.2179
Ag6 0.7179 0.7821 0.7821
Pd1 0.0000 0.5000 0.0000
Pd2 0.5000 0.5000 0.0000
Pd3 0.0000 0.0000 0.5000
Pd4 0.5000 0.0000 0.5000
Pd5 0.5000 0.7816 0.2184
Pd6 0.5000 0.2184 0.7816

Summary:
Magnetic moment in μB/cell: 0.00
Energy of formation from the pure elements in eV per atom: -0.237
SG: Immm (71)